{
  "formula": "AcPm4Eu",
  "functional": "PBE-GGA",
  "state": "relaxed",
  "e_tot_ev_per_atom": -5.36,
  "dos_at_fermi_per_ev_atom": 1.433,
  "vol_a3_per_atom": 38.9,
  "sg": "No. 216",
  "lattice_angstrom": [[-2.2457, -6.4017, 1.3128], [3.7637, -4.2394, 3.9509], [-2.1855, -1.6623, 6.3410]],
  "species": ["Pm", "Pm", "Pm", "Pm", "Eu", "Ac"],
  "fractional_positions": [[0.1286, 0.6238, 0.6238], [0.6238, 0.6238, 0.1286], [0.6238, 0.6238, 0.6238], [0.6238, 0.1286, 0.6238], [0.0000, 0.0000, 0.0000], [0.2500, 0.2500, 0.2500]]
}

=====

{
  "formula": "AcPm2Eu",
  "functional": "PBE-GGA",
  "state": "relaxed",
  "e_tot_ev_per_atom": -5.91,
  "de_polymorph_mev_per_atom": 0,
  "dos_at_fermi_per_ev_atom": 1.484,
  "vol_a3_per_atom": 38.4,
  "sg": "No. 123",
  "lattice_angstrom": [[3.8242, 0.0000, 0.0000], [0.0000, 3.8242, 0.0000], [0.0000, 0.0000, 10.5134]],
  "species": ["Pm", "Pm", "Ac", "Eu"],
  "fractional_positions": [[0.0000, 0.0000, 0.2474], [0.0000, 0.0000, 0.7526], [0.5000, 0.5000, 0.0000], [0.5000, 0.5000, 0.5000]]
}

=====

{
  "formula": "AcPmEu",
  "functional": "PBE-GGA",
  "state": "relaxed",
  "e_tot_ev_per_atom": -6.34,
  "de_polymorph_mev_per_atom": 3,
  "dos_at_fermi_per_ev_atom": 1.178,
  "vol_a3_per_atom": 40.1,
  "sg": "No. 156",
  "lattice_angstrom": [[-3.0640, 2.1657, -0.8728], [0.3975, -1.4314, 3.5544], [4.6962, 7.6786, 2.5671]],
  "species": ["Eu", "Pm", "Ac"],
  "fractional_positions": [[0.6667, 0.3333, 0.3256], [0.0000, 0.0000, 0.9982], [0.3333, 0.6667, 0.6762]]
}

=====

{
  "formula": "AcPm2Eu",
  "functional": "PBE-GGA",
  "state": "relaxed",
  "e_tot_ev_per_atom": -5.90,
  "de_polymorph_mev_per_atom": 9,
  "dos_at_fermi_per_ev_atom": 1.689,
  "vol_a3_per_atom": 38.1,
  "sg": "No. 123",
  "lattice_angstrom": [[5.3841, 0.0000, 0.0000], [0.0000, 5.3234, 0.0000], [0.0000, 0.0000, 5.3234]],
  "species": ["Pm", "Pm", "Eu", "Ac"],
  "fractional_positions": [[0.0000, 0.5000, 0.0000], [0.0000, 0.0000, 0.5000], [0.5000, 0.5000, 0.5000], [0.5000, 0.0000, 0.0000]]
}